VASP calculation (PBE) on Co7Ge after structural relaxation.

a b c (Å): 2.515 3.528 33.222
angles (deg): 90.00 90.00 90.00
Sites, in units of the cell vectors:
Ge  0.000  0.000  0.719
Ge  0.500  0.500  0.281
Co  0.000  0.000  0.869
Co  0.000  0.000  0.168
Co  0.000  0.000  0.944
Co  0.500  0.500  0.131
Co  0.500  0.500  0.981
Co  0.500  0.500  0.907
Co  0.500  0.500  0.832
Co  0.500  0.500  0.056
Co  0.500  0.500  0.758
Co  0.000  0.000  0.242
Co  0.000  0.000  0.093
Co  0.000  0.000  0.796
Co  0.000  0.000  0.019
Co  0.500  0.500  0.204

Computed properties:
E_tot: -6.736 eV/atom
E above lowest polymorph: 0 meV/atom
SG: Pmmn (59)


VASP calculation (PBE) on Co15Ge after structural relaxation.

a b c (Å): 4.299 33.664 4.299
angles (deg): 90.00 109.75 90.00
Sites, in units of the cell vectors:
Co  0.500  0.481  0.500
Co  0.500  0.445  0.000
Co  0.000  0.408  0.000
Co  0.500  0.408  0.500
Co  0.000  0.592  0.500
Co  0.500  0.592  0.000
Co  0.000  0.702  0.000
Co  0.500  0.555  0.500
Ge  0.500  0.222  0.000
Co  0.500  0.629  0.500
Ge  0.000  0.778  0.000
Co  0.000  0.482  0.000
Co  0.500  0.260  0.500
Co  0.000  0.630  0.000
Co  0.000  0.224  0.500
Co  0.000  0.333  0.000
Co  0.500  0.518  0.000
Co  0.500  0.703  0.500
Co  0.500  0.776  0.500
Co  0.000  0.519  0.500
Co  0.000  0.445  0.500
Co  0.500  0.370  0.000
Co  0.000  0.667  0.500
Co  0.500  0.333  0.500
Co  0.000  0.555  0.000
Co  0.000  0.297  0.500
Co  0.500  0.298  0.000
Co  0.000  0.740  0.500
Co  0.000  0.371  0.500
Co  0.000  0.260  0.000
Co  0.500  0.740  0.000
Co  0.500  0.667  0.000

Computed properties:
E_tot: -6.865 eV/atom
E above lowest polymorph: 31 meV/atom
SG: P2/c (13)


VASP calculation (PBE) on Co15Ge after structural relaxation.

a b c (Å): 3.503 3.503 41.554
angles (deg): 90.00 90.00 90.00
Sites, in units of the cell vectors:
Co  0.500  0.000  0.775
Co  0.500  0.000  0.181
Co  0.500  0.500  0.309
Co  0.500  0.000  0.691
Ge  0.000  0.500  0.180
Co  0.500  0.500  0.734
Co  0.500  0.500  0.479
Co  0.000  0.500  0.606
Co  0.000  0.500  0.775
Co  0.000  0.500  0.266
Co  0.000  0.000  0.734
Co  0.500  0.500  0.225
Co  0.000  0.500  0.691
Co  0.000  0.000  0.564
Co  0.000  0.500  0.351
Co  0.500  0.500  0.564
Co  0.500  0.000  0.266
Co  0.500  0.000  0.436
Co  0.000  0.000  0.649
Co  0.500  0.500  0.819
Co  0.000  0.500  0.436
Co  0.000  0.000  0.225
Co  0.500  0.000  0.351
Co  0.000  0.000  0.309
Co  0.500  0.000  0.606
Ge  0.000  0.000  0.819
Co  0.500  0.000  0.521
Co  0.000  0.500  0.521
Co  0.000  0.000  0.394
Co  0.500  0.500  0.394
Co  0.000  0.000  0.479
Co  0.500  0.500  0.649

Computed properties:
E_tot: -6.896 eV/atom
E above lowest polymorph: 0 meV/atom
SG: Pmma (51)


VASP calculation (PBE) on Co15Ge after structural relaxation.

a b c (Å): 4.945 3.517 33.701
angles (deg): 90.00 90.01 90.00
Sites, in units of the cell vectors:
Co  0.625  0.250  0.776
Co  0.123  0.250  0.333
Ge  0.125  0.250  0.778
Co  0.875  0.750  0.371
Co  0.877  0.750  0.667
Co  0.625  0.250  0.481
Co  0.625  0.250  0.408
Co  0.130  0.250  0.260
Co  0.875  0.750  0.298
Co  0.875  0.750  0.518
Co  0.125  0.250  0.629
Co  0.625  0.250  0.555
Co  0.375  0.750  0.445
Co  0.375  0.750  0.371
Co  0.870  0.750  0.740
Co  0.375  0.750  0.224
Co  0.620  0.250  0.260
Co  0.627  0.250  0.333
Ge  0.875  0.750  0.222
Co  0.375  0.750  0.296
Co  0.875  0.750  0.445
Co  0.125  0.250  0.482
Co  0.125  0.250  0.702
Co  0.125  0.250  0.555
Co  0.625  0.250  0.629
Co  0.625  0.250  0.704
Co  0.375  0.750  0.519
Co  0.373  0.750  0.667
Co  0.875  0.750  0.592
Co  0.375  0.750  0.592
Co  0.125  0.250  0.408
Co  0.380  0.750  0.740

Computed properties:
E_tot: -6.866 eV/atom
E above lowest polymorph: 30 meV/atom
SG: P2_1/m (11)


VASP calculation (PBE) on Co124Ge after structural relaxation.

a b c (Å): 12.434 12.434 12.434
angles (deg): 60.00 60.00 60.00
Sites, in units of the cell vectors:
Co  0.800  0.400  0.600
Co  0.000  0.200  0.200
Co  0.000  0.000  0.399
Co  0.203  0.797  0.000
Co  0.000  0.599  0.200
Co  0.200  0.400  0.000
Co  0.800  0.800  0.600
Co  0.000  0.797  0.000
Co  0.800  0.800  0.401
Co  0.797  0.000  0.203
Co  0.000  0.000  0.203
Co  0.200  0.599  0.000
Co  0.400  0.800  0.600
Co  0.000  0.401  0.800
Co  0.399  0.000  0.601
Co  0.800  0.600  0.400
Co  0.400  0.400  0.400
Co  0.200  0.800  0.200
Co  0.800  0.200  0.400
Co  0.400  0.600  0.200
Co  0.400  0.200  0.000
Co  0.000  0.800  0.600
Co  0.797  0.000  0.000
Co  0.600  0.000  0.800
Co  0.400  0.000  0.200
Co  0.600  0.600  0.600
Co  0.600  0.600  0.400
Co  0.599  0.200  0.000
Co  0.800  0.000  0.800
Co  0.200  0.400  0.400
Co  0.000  0.601  0.399
Co  0.200  0.200  0.800
Co  0.000  0.399  0.000
Co  0.800  0.200  0.800
Co  0.401  0.800  0.800
Co  0.400  0.200  0.400
Co  0.000  0.797  0.203
Co  0.601  0.000  0.000
Co  0.800  0.600  0.200
Co  0.600  0.600  0.200
Co  0.000  0.400  0.200
Co  0.203  0.000  0.000
Co  0.400  0.200  0.800
Co  0.200  0.200  0.200
Co  0.000  0.600  0.800
Co  0.400  0.600  0.400
Co  0.401  0.000  0.800
Ge  0.000  0.000  0.000
Co  0.200  0.400  0.200
Co  0.000  0.600  0.600
Co  0.601  0.000  0.399
Co  0.000  0.000  0.601
Co  0.800  0.600  0.000
Co  0.600  0.400  0.600
Co  0.200  0.400  0.600
Co  0.800  0.401  0.800
Co  0.200  0.600  0.400
Co  0.600  0.800  0.200
Co  0.000  0.800  0.401
Co  0.399  0.601  0.000
Co  0.200  0.800  0.600
Co  0.200  0.000  0.400
Co  0.200  0.600  0.800
Co  0.400  0.200  0.200
Co  0.000  0.200  0.599
Co  0.601  0.399  0.000
Co  0.599  0.200  0.200
Co  0.400  0.200  0.600
Co  0.000  0.000  0.797
Co  0.800  0.600  0.600
Co  0.200  0.200  0.000
Co  0.401  0.800  0.000
Co  0.600  0.600  0.800
Co  0.000  0.203  0.000
Co  0.797  0.203  0.000
Co  0.600  0.200  0.800
Co  0.600  0.200  0.600
Co  0.000  0.601  0.000
Co  0.000  0.200  0.400
Co  0.800  0.400  0.400
Co  0.400  0.600  0.800
Co  0.600  0.000  0.600
Co  0.200  0.000  0.200
Co  0.400  0.800  0.400
Co  0.600  0.400  0.400
Co  0.800  0.400  0.200
Co  0.800  0.600  0.800
Co  0.800  0.200  0.600
Co  0.600  0.400  0.200
Co  0.000  0.399  0.601
Co  0.600  0.200  0.400
Co  0.200  0.200  0.400
Co  0.400  0.600  0.600
Co  0.600  0.600  0.000
Co  0.400  0.400  0.000
Co  0.400  0.400  0.600
Co  0.600  0.800  0.600
Co  0.200  0.800  0.800
Co  0.000  0.800  0.800
Co  0.800  0.800  0.800
Co  0.800  0.000  0.600
Co  0.399  0.000  0.000
Co  0.800  0.200  0.200
Co  0.400  0.800  0.200
Co  0.800  0.401  0.000
Co  0.200  0.600  0.600
Co  0.200  0.599  0.200
Co  0.600  0.400  0.800
Co  0.203  0.000  0.797
Co  0.600  0.800  0.400
Co  0.200  0.200  0.599
Co  0.400  0.400  0.200
Co  0.200  0.000  0.599
Co  0.800  0.800  0.200
Co  0.800  0.000  0.401
Co  0.600  0.800  0.000
Co  0.400  0.000  0.400
Co  0.000  0.400  0.400
Co  0.400  0.400  0.800
Co  0.200  0.800  0.400
Co  0.599  0.000  0.200
Co  0.200  0.400  0.800
Co  0.600  0.800  0.800
Co  0.000  0.203  0.797
Co  0.800  0.800  0.000

Computed properties:
E_tot: -7.073 eV/atom
SG: Fm-3m (225)


VASP calculation (PBE) on Co10Ge after structural relaxation.

a b c (Å): 4.285 4.285 29.938
angles (deg): 90.04 90.04 48.21
Sites, in units of the cell vectors:
Co  0.850  0.850  0.013
Co  0.850  0.850  0.750
Ge  0.147  0.147  0.724
Co  0.350  0.350  0.145
Co  0.552  0.552  0.777
Co  0.750  0.750  0.934
Co  0.950  0.950  0.828
Co  0.349  0.349  0.882
Co  0.250  0.250  0.066
Co  0.448  0.448  0.223
Co  0.256  0.256  0.803
Co  0.150  0.150  0.987
Co  0.150  0.150  0.250
Co  0.550  0.550  0.039
Co  0.650  0.650  0.855
Co  0.744  0.744  0.197
Co  0.951  0.951  0.092
Co  0.050  0.050  0.172
Co  0.651  0.651  0.118
Ge  0.853  0.853  0.276
Co  0.049  0.049  0.908
Co  0.450  0.450  0.961

Computed properties:
E_tot: -6.808 eV/atom
SG: C2/m (12)


VASP calculation (PBE) on Co3GeH after structural relaxation.

a b c (Å): 3.589 3.589 3.589
angles (deg): 90.00 90.00 90.00
Sites, in units of the cell vectors:
Co  0.500  0.000  0.000
Co  0.000  0.500  0.000
Co  0.000  0.000  0.500
Ge  0.500  0.500  0.500
H  0.000  0.000  0.000

Computed properties:
E_tot: -5.981 eV/atom
SG: Pm-3m (221)


VASP calculation (PBE) on Co2Ge2H after structural relaxation.

a b c (Å): 4.899 3.643 6.721
angles (deg): 90.00 90.00 90.00
Sites, in units of the cell vectors:
Co  0.250  0.500  0.877
Co  0.000  0.500  0.500
Ge  0.250  0.000  0.634
H  0.500  0.000  0.000
Co  0.500  0.500  0.500
H  0.000  0.000  0.000
Ge  0.250  0.500  0.210
Co  0.750  0.500  0.123
Ge  0.750  0.500  0.790
Ge  0.750  0.000  0.366

Computed properties:
E_tot: -5.194 eV/atom
SG: Pmma (51)


VASP calculation (PBE) on Co3GeH after structural relaxation.

a b c (Å): 5.072 5.072 5.072
angles (deg): 120.22 120.22 89.62
Sites, in units of the cell vectors:
Ge  0.750  0.250  0.500
Ge  0.250  0.750  0.500
Co  0.250  0.250  0.000
Co  0.255  0.755  0.010
Co  0.245  0.255  0.500
H  0.500  0.500  0.000
H  0.000  0.000  0.000
Co  0.750  0.750  0.000
Co  0.745  0.245  0.990
Co  0.755  0.745  0.500

Computed properties:
E_tot: -5.980 eV/atom
SG: I4/mcm (140)


VASP calculation (PBE) on Hf3Co2Ge3 after structural relaxation.

a b c (Å): 5.405 5.405 13.093
angles (deg): 90.00 90.00 137.74
Sites, in units of the cell vectors:
Co  0.777  0.223  0.413
Hf  0.924  0.076  0.615
Hf  0.076  0.924  0.385
Hf  0.638  0.362  0.750
Co  0.223  0.777  0.913
Ge  0.388  0.612  0.456
Ge  0.343  0.657  0.750
Ge  0.612  0.388  0.956
Co  0.223  0.777  0.587
Ge  0.612  0.388  0.544
Ge  0.388  0.612  0.044
Co  0.777  0.223  0.087
Hf  0.924  0.076  0.885
Hf  0.076  0.924  0.115
Ge  0.657  0.343  0.250
Hf  0.362  0.638  0.250

Computed properties:
E_tot: -7.889 eV/atom
SG: Cmcm (63)


VASP calculation (PBE) on Li2Hf2CoGe2Ir after structural relaxation.

a b c (Å): 4.327 4.327 6.175
angles (deg): 90.00 90.00 90.00
Sites, in units of the cell vectors:
Hf  0.000  0.500  0.240
Ge  0.000  0.500  0.760
Li  0.000  0.000  0.500
Ir  0.500  0.500  0.500
Ge  0.500  0.000  0.240
Li  0.500  0.500  0.000
Hf  0.500  0.000  0.760
Co  0.000  0.000  0.000

Computed properties:
E_tot: -6.733 eV/atom
SG: P-4m2 (115)


VASP calculation (PBE) on LiHfCoGe after structural relaxation.

a b c (Å): 4.384 4.384 4.384
angles (deg): 60.00 60.00 60.00
Sites, in units of the cell vectors:
Ge  0.000  0.000  0.000
Hf  0.250  0.250  0.250
Li  0.750  0.750  0.750
Co  0.500  0.500  0.500

Computed properties:
E_tot: -6.125 eV/atom
E above lowest polymorph: 280 meV/atom
SG: F-43m (216)